Pm3Er4Pu: relaxed, PBE.

The space group is Immm (No. 71) and the conventional cell measures 3.422, 11.583 and 12.846 Å, with angles of 90.00, 90.00 and 90.00 degrees. Symmetry generates all atoms from Pm at (0.000, 0.000, 0.000), Pm at (0.000, 0.500, 0.236), Er at (0.000, 0.248, 0.368) and Pu at (0.000, 0.000, 0.500).

For the formation energy, the calculation gives 0.154 eV per atom. The calculation puts the total energy at -91.21 eV/cell.

=====

Pm8Er3Pu: relaxed, PBE.

The space group is P1 (No. 1) and the conventional cell measures 6.237, 7.210 and 9.475 Å, with angles of 78.89, 77.02 and 73.02 degrees. Symmetry generates all atoms from Pm at (0.000, 0.000, 0.000), Pm at (0.000, 0.497, 0.000), Pm at (0.491, 0.836, 0.163), Pm at (0.496, 0.331, 0.165), Pm at (0.502, 0.000, 0.495), Pm at (0.509, 0.495, 0.497), Pm at (0.998, 0.835, 0.660), Pm at (0.999, 0.331, 0.660), Er at (0.000, 0.666, 0.330), Er at (0.499, 0.165, 0.830), Er at (0.499, 0.665, 0.830) and Pu at (0.999, 0.166, 0.330).

For the formation energy, the calculation gives 0.050 eV per atom. The calculation puts the total energy at -65.42 eV/cell.

=====

Pm12Er7Pu: relaxed, PBE.

The space group is R-3 (No. 148, hexagonal axes) and the conventional cell measures 19.5167, 19.5167 and 6.1500 Å, with angles of 90.00, 90.00 and 120.00 degrees. Symmetry generates all atoms from Pm at (0.9995, 0.4131, 0.9997), Pm at (0.0978, 0.5482, 0.4772), Er at (0.0000, 0.0000, 0.0000), Er at (0.0792, 0.1600, 0.3038) and Pu at (0.0000, 0.0000, 0.5000).

For the formation energy, the calculation gives 0.237 eV per atom. The excess energy over the best structure of this formula in the dataset comes out at 11.54 kJ per mole of atoms. The calculation puts the total energy at -295.63 eV/cell.

=====

PmErPu: relaxed, PBE.

The space group is P3m1 (No. 156) and the conventional cell measures 3.5410, 3.5410 and 8.5617 Å, with angles of 90.00, 90.00 and 120.00 degrees. Symmetry generates all atoms from Pm at (0.0000, 0.0000, 0.0000), Er at (0.6667, 0.3333, 0.3399) and Pu at (0.3333, 0.6667, 0.6649).

For the formation energy, the calculation gives 0.134 eV per atom. The excess energy over the best structure of this formula in the dataset comes out at 1.51 kJ per mole of atoms. The calculation puts the total energy at -23.24 eV/cell.

=====

PmErPu: relaxed, PBE.

The space group is C2/m (No. 12) and the conventional cell measures 10.964, 6.911 and 5.647 Å, with angles of 90.00, 120.94 and 90.00 degrees. Symmetry generates all atoms from Pm at (0.000, 0.243, 0.000), Er at (0.175, 0.000, 0.674) and Pu at (0.153, 0.500, 0.654).

For the formation energy, the calculation gives 0.173 eV per atom. The excess energy over the best structure of this formula in the dataset comes out at 5.24 kJ per mole of atoms. The calculation puts the total energy at -92.51 eV/cell.

=====

Pm8Er4Pu: relaxed, PBE.

The space group is Pm-3m (No. 221) and the conventional cell measures 7.813, 7.813 and 7.813 Å, with angles of 90.00, 90.00 and 90.00 degrees. Symmetry generates all atoms from Pm at (0.244, 0.244, 0.244), Er at (0.000, 0.000, 0.000), Er at (0.000, 0.500, 0.500) and Pu at (0.500, 0.500, 0.500).

For the formation energy, the calculation gives 0.491 eV per atom. The calculation puts the total energy at -64.21 eV/cell.

=====

Pm12Er7Pu: relaxed, PBE.

The space group is R-3m (No. 166, hexagonal axes) and the conventional cell measures 13.5245, 13.5245 and 12.3774 Å, with angles of 90.00, 90.00 and 120.00 degrees. Symmetry generates all atoms from Pm at (0.0000, 0.2576, 0.0000), Pm at (0.0452, 0.5226, 0.1185), Er at (0.0000, 0.0000, 0.0000), Er at (0.0870, 0.1740, 0.7593) and Pu at (0.0000, 0.0000, 0.5000).

For the formation energy, the calculation gives 0.117 eV per atom. The excess energy over the best structure of this formula in the dataset comes out at 0.00 kJ per mole of atoms. The calculation puts the total energy at -302.81 eV/cell.

=====

Pm4Er8Pu: relaxed, PBE.

The space group is R-3m (No. 166, hexagonal axes) and the conventional cell measures 10.9466, 10.9466 and 13.3605 Å, with angles of 90.00, 90.00 and 120.00 degrees. Symmetry generates all atoms from Pm at (0.0000, 0.0000, 0.0000), Pm at (0.0000, 0.5000, 0.0000), Er at (0.0000, 0.0000, 0.2440), Er at (0.0076, 0.5038, 0.7474) and Pu at (0.0000, 0.0000, 0.5000).

For the formation energy, the calculation gives 0.538 eV per atom. The calculation puts the total energy at -188.51 eV/cell.